Computed, not measured: a geometry-optimized OsSI3 structure at the PBE-GGA level of DFT.

Lattice parameters (Å, degrees): 5.3773 5.3773 5.3773 90.00 90.00 90.00
Last column: nearest neighbours and their distance in Å.
Element x y z (fractional)
I (0.0000, 0.0000, 0.5000)  2 Os 2.69
I (0.5000, 0.0000, 0.0000)  2 Os 2.69
Os (0.0000, 0.0000, 0.0000)  6 I 2.69
S (0.5000, 0.5000, 0.5000)  12 I 3.80
I (0.0000, 0.5000, 0.0000)  2 Os 2.69

The calculation puts the final energy at -15.1 eV per cell. As for the total moment: 0.0515 μB per atom. The formation energy from raw total energies comes out at 0.984 eV/atom. Its energy above the lowest structure with this stoichiometry is 0.00 kcal/mol of atoms. The density of states at the Fermi level comes out at 5.758 states/eV/cell. The symmetry is Pm-3m (221).